# NbGa2SiW

An optimized crystal structure of NbGa2SiW (PBE, Alexandria).

```
5
Lattice="4.816 0.000 0.000 0.000 4.816 0.000 0.000 0.000 4.656" Properties=species:S:1:pos:R:3 pbc="T T T"
Nb 0.000 0.000 0.000
Ga 0.000 2.408 2.328
Ga 2.408 0.000 2.328
Si 2.408 2.408 0.000
W 2.408 2.408 2.328
```

Calculated values
Size of the total moment: 2.49 μB/f.u.
E_tot: -29.7 eV per formula unit
DOS(E_F): 0.6937 states/eV/atom